No. 1
First-principles (PBE) data for CaCdRh2 after structural relaxation, as listed in the Alexandria database.

abc: 5.1127 4.5857 13.8813
angles: 90.00 99.74 90.00
Positions (direct):
Rh (0.9412, 0.5000, 0.3910)
Rh (0.0802, 0.5000, 0.2190)
Rh (0.9198, 0.0000, 0.2810)
Rh (0.9412, 0.0000, 0.8910)
Rh (0.9198, 0.5000, 0.7810)
Rh (0.0802, 0.0000, 0.7190)
Rh (0.0588, 0.5000, 0.6090)
Rh (0.0588, 0.0000, 0.1090)
Cd (0.5000, 0.5000, 0.5000)
Cd (0.0000, 0.5000, 0.0000)
Cd (0.0000, 0.0000, 0.5000)
Cd (0.5000, 0.0000, 0.0000)
Ca (0.4352, 0.5000, 0.8377)
Ca (0.5648, 0.5000, 0.1623)
Ca (0.4352, 0.0000, 0.3377)
Ca (0.5648, 0.0000, 0.6623)

Properties
Total energy ... -4.612 eV per atom
Energy of formation from the pure elements ... -0.83 eV per formula unit
N(E_F) ... 3.1 states/eV/f.u.

***

No. 2
First-principles (PBE) data for Ca3CdRh after structural relaxation, as listed in the Alexandria database.

abc: 5.7654 6.5315 9.0455
angles: 112.97 80.36 118.42
Positions (direct):
Ca (0.1402, 0.2047, 0.2644)
Ca (0.4988, 0.1977, 0.8979)
Ca (0.8798, 0.6065, 0.2863)
Ca (0.5012, 0.8023, 0.1021)
Ca (0.1202, 0.3935, 0.7137)
Ca (0.8598, 0.7953, 0.7356)
Cd (0.5833, 0.2292, 0.4844)
Cd (0.4167, 0.7708, 0.5156)
Rh (0.0032, 0.2668, 0.9995)
Rh (0.9968, 0.7332, 0.0005)

Properties
Total energy ... -3.203 eV per atom
ΔE to the lowest computed polymorph ... 0.0 meV/atom
Energy of formation from the pure elements ... -1.74 eV per formula unit
N(E_F) ... 2.7 states/eV/f.u.

***

No. 3
First-principles (PBE) data for Ca4CdRh2 after structural relaxation, as listed in the Alexandria database.

abc: 4.7868 4.7868 10.1387
angles: 76.35 76.35 60.00
Positions (direct):
Cd (0.0000, 0.0000, 0.0000)
Ca (0.2025, 0.2025, 0.3926)
Ca (0.3914, 0.3914, 0.8259)
Ca (0.7975, 0.7975, 0.6074)
Ca (0.6086, 0.6086, 0.1741)
Rh (0.0936, 0.0936, 0.7193)
Rh (0.9064, 0.9064, 0.2807)

Properties
Total energy ... -3.674 eV per atom
ΔE to the lowest computed polymorph ... 0.0 meV/atom
Energy of formation from the pure elements ... -2.10 eV per formula unit
N(E_F) ... 3.0 states/eV/f.u.

***

No. 4
First-principles (PBE) data for CaCdRh2 after structural relaxation, as listed in the Alexandria database.

abc: 4.8816 4.8816 5.3982
angles: 78.72 78.72 36.90
Positions (direct):
Ca (0.7500, 0.7500, 0.7500)
Rh (0.5044, 0.5044, 0.4563)
Rh (0.9956, 0.9956, 0.0437)
Cd (0.2500, 0.2500, 0.2500)

Properties
Total energy ... -4.487 eV per atom
Energy of formation from the pure elements ... -0.33 eV per formula unit
N(E_F) ... 2.4 states/eV/f.u.

***

No. 5
First-principles (PBE) data for CaCdRh after structural relaxation, as listed in the Alexandria database.

abc: 5.0597 5.9156 5.9156
angles: 71.26 64.70 64.70
Positions (direct):
Ca (0.4608, 0.2680, 0.4546)
Ca (0.9608, 0.7676, 0.9550)
Rh (0.4608, 0.2677, 0.9546)
Rh (0.9608, 0.2676, 0.9546)
Cd (0.2107, 0.9061, 0.3168)
Cd (0.7107, 0.6298, 0.5931)

Properties
Total energy ... -3.669 eV per atom
Energy of formation from the pure elements ... -0.74 eV per formula unit
N(E_F) ... 1.9 states/eV/f.u.

***

No. 6
First-principles (PBE) data for CaCd4Rh after structural relaxation, as listed in the Alexandria database.

abc: 4.3028 7.4479 8.5935
angles: 90.00 90.00 90.00
Positions (direct):
Cd (0.5000, 0.3132, 0.5570)
Cd (0.5000, 0.6868, 0.0570)
Cd (0.5000, 0.9506, 0.7500)
Cd (0.0000, 0.0000, 0.0000)
Cd (0.5000, 0.6868, 0.4430)
Cd (0.5000, 0.0494, 0.2500)
Cd (0.0000, 0.0000, 0.5000)
Cd (0.5000, 0.3132, 0.9430)
Ca (0.0000, 0.5963, 0.7500)
Ca (0.0000, 0.4037, 0.2500)
Rh (0.0000, 0.2153, 0.7500)
Rh (0.0000, 0.7847, 0.2500)

Properties
Total energy ... -2.426 eV per atom
ΔE to the lowest computed polymorph ... 0.0 meV/atom
Energy of formation from the pure elements ... -1.54 eV per formula unit
N(E_F) ... 3.0 states/eV/f.u.

***

- Which value of energy of formation from the pure elements does entry 4 give?
  -0.33 eV per formula unit

***

- energy of formation from the pure elements of number 5 (CaCdRh)?
  -0.74 eV per formula unit

***

Copy entry 5 word for word.
First-principles (PBE) data for CaCdRh after structural relaxation, as listed in the Alexandria database.

abc: 5.0597 5.9156 5.9156
angles: 71.26 64.70 64.70
Positions (direct):
Ca (0.4608, 0.2680, 0.4546)
Ca (0.9608, 0.7676, 0.9550)
Rh (0.4608, 0.2677, 0.9546)
Rh (0.9608, 0.2676, 0.9546)
Cd (0.2107, 0.9061, 0.3168)
Cd (0.7107, 0.6298, 0.5931)

Properties
Total energy ... -3.669 eV per atom
Energy of formation from the pure elements ... -0.74 eV per formula unit
N(E_F) ... 1.9 states/eV/f.u.